A relaxed structure of Ba3Ta2NiO9. Source: Alexandria via LeMat-Bulk, functional PBE with a Hubbard U.

Computed properties:
E_tot ... -7.88 eV/atom
DOS at the Fermi energy ... 0.0000 states/eV/atom
M_tot ... 2.04 Bohr magnetons per cell
SG ... P-3m1

Cell: 5.8245 5.8245 7.1641 Å, 90.00 90.00 120.00°
With the nearest neighbours (Å) after each atom.
Atoms (fractional coordinates):
Ba1 0.0000 0.0000 0.0000  12 O 2.90-2.91
Ba2 0.6667 0.3333 0.6619  12 O 2.91-2.95
Ba3 0.3333 0.6667 0.3381  12 O 2.91-2.95
Ta1 0.3333 0.6667 0.8235  6 O 1.95-2.10
Ta2 0.6667 0.3333 0.1765  6 O 1.95-2.10
Ni1 0.0000 0.0000 0.5000  6 O 2.14
O1 0.5000 0.0000 0.0000  2 Ta 2.10
O2 0.0000 0.5000 0.0000  2 Ta 2.10
O3 0.5000 0.5000 0.0000  2 Ta 2.10
O4 0.8283 0.1717 0.3246  1 Ta 1.95, 1 Ni 2.14
O5 0.3434 0.1717 0.3246  1 Ta 1.95, 1 Ni 2.14
O6 0.8283 0.6566 0.3246  1 Ta 1.95, 1 Ni 2.14
O7 0.6566 0.8283 0.6754  1 Ta 1.95, 1 Ni 2.14
O8 0.1717 0.8283 0.6754  1 Ta 1.95, 1 Ni 2.14
O9 0.1717 0.3434 0.6754  1 Ta 1.95, 1 Ni 2.14